Below is SrBrCl after structural relaxation, with properties calculated at the GGA-PBE level.

## Properties
- total magnetization (μB/cell) = 0.0
- E (eV per atom) = -3.830
- crystal system = tetragonal
- volume (Å³/cell) = 97.5

Lattice parameters (Å, degrees): 7.2733 7.2734 3.7984 74.86 74.87 30.27
Positions (direct):
Br1 0.0401 0.0401 0.9599
Sr1 0.6738 0.6738 0.3262
Cl1 0.2861 0.2861 0.7139